Model A:
Pr2InPt: relaxed, PBE.

Summary:
- DOS(E_F) (states/eV/f.u.) = 2.75

a b c (Å): 3.664 3.664 8.028
angles (deg): 90.00 90.00 90.00
Sites, in units of the cell vectors:
Pr (0.000, 0.000, 0.220)
Pr (0.000, 0.000, 0.780)
In (0.500, 0.500, 0.500)
Pt (0.500, 0.500, 0.000)

Model B:
Pr2InPt: relaxed, PBE.

Summary:
- DOS(E_F) (states/eV/f.u.) = 3.86

a b c (Å): 4.096 4.096 25.270
angles (deg): 90.00 90.00 120.00
Sites, in units of the cell vectors:
Pr (0.000, 0.000, 0.236)
Pr (0.000, 0.000, 0.764)
Pr (0.333, 0.667, 0.431)
Pr (0.333, 0.667, 0.902)
Pr (0.667, 0.333, 0.098)
Pr (0.667, 0.333, 0.569)
In (0.000, 0.000, 0.000)
In (0.333, 0.667, 0.667)
In (0.667, 0.333, 0.333)
Pt (0.000, 0.000, 0.500)
Pt (0.333, 0.667, 0.167)
Pt (0.667, 0.333, 0.833)

Stability ranking, top entry: model A; the second entry is 91 meV/atom less favorable.

Model A:
PrPuIn: relaxed, PBE.

Summary:
- DOS(E_F) (states/eV/f.u.) = 8.10

a b c (Å): 5.410 5.410 3.367
angles (deg): 90.00 90.00 120.00
Sites, in units of the cell vectors:
Pr (0.000, 0.000, 0.000)
Pu (0.667, 0.333, 0.646)
In (0.333, 0.667, 0.341)

Model B:
PrPuIn: relaxed, PBE.

Summary:
- DOS(E_F) (states/eV/f.u.) = 7.77

a b c (Å): 3.793 3.793 12.421
angles (deg): 90.00 90.00 90.00
Sites, in units of the cell vectors:
Pr (0.000, 0.000, 0.000)
Pr (0.500, 0.500, 0.500)
Pu (0.000, 0.000, 0.313)
Pu (0.500, 0.500, 0.813)
In (0.000, 0.000, 0.662)
In (0.500, 0.500, 0.162)

Stability ranking, top entry: model B; the second entry is 24 meV/atom less favorable.

Model A:
Pr4InRh: relaxed, PBE.

Summary:
- DOS(E_F) (states/eV/f.u.) = 6.79

a b c (Å): 8.457 8.457 6.178
angles (deg): 102.31 102.31 115.51
Sites, in units of the cell vectors:
Pr (0.070, 0.702, 0.928)
Pr (0.204, 0.347, 0.651)
Pr (0.298, 0.930, 0.572)
Pr (0.347, 0.204, 0.151)
Pr (0.653, 0.796, 0.849)
Pr (0.702, 0.070, 0.428)
Pr (0.796, 0.653, 0.349)
Pr (0.930, 0.298, 0.072)
In (0.379, 0.621, 0.250)
In (0.621, 0.379, 0.750)
Rh (0.000, 0.000, 0.250)
Rh (0.000, 0.000, 0.750)

Model B:
Pr4InRh: relaxed, PBE.

Summary:
- DOS(E_F) (states/eV/f.u.) = 5.38

a b c (Å): 10.043 10.043 10.043
angles (deg): 60.00 60.00 60.00
Sites, in units of the cell vectors:
Pr (0.189, 0.189, 0.811)
Pr (0.189, 0.811, 0.189)
Pr (0.189, 0.811, 0.811)
Pr (0.401, 0.401, 0.401)
Pr (0.401, 0.401, 0.797)
Pr (0.401, 0.797, 0.401)
Pr (0.558, 0.558, 0.942)
Pr (0.558, 0.942, 0.558)
Pr (0.558, 0.942, 0.942)
Pr (0.797, 0.401, 0.401)
Pr (0.811, 0.189, 0.189)
Pr (0.811, 0.189, 0.811)
Pr (0.811, 0.811, 0.189)
Pr (0.942, 0.558, 0.558)
Pr (0.942, 0.558, 0.942)
Pr (0.942, 0.942, 0.558)
In (0.169, 0.169, 0.169)
In (0.169, 0.169, 0.492)
In (0.169, 0.492, 0.169)
In (0.492, 0.169, 0.169)
Rh (0.175, 0.608, 0.608)
Rh (0.608, 0.175, 0.608)
Rh (0.608, 0.608, 0.175)
Rh (0.608, 0.608, 0.608)

Stability ranking, top entry: model B; the second entry is 73 meV/atom less favorable.

Model A:
Pr3InRu: relaxed, PBE.

Summary:
- DOS(E_F) (states/eV/f.u.) = 3.30

a b c (Å): 9.648 8.907 6.098
angles (deg): 77.54 64.35 38.11
Sites, in units of the cell vectors:
Pr (0.196, 0.586, 0.414)
Pr (0.201, 0.201, 0.799)
Pr (0.414, 0.804, 0.196)
Pr (0.586, 0.196, 0.804)
Pr (0.799, 0.799, 0.201)
Pr (0.804, 0.414, 0.586)
In (0.204, 0.796, 0.796)
In (0.796, 0.204, 0.204)
Ru (0.250, 0.250, 0.250)
Ru (0.750, 0.750, 0.750)

Model B:
Pr3InRu: relaxed, PBE.

Summary:
- DOS(E_F) (states/eV/f.u.) = 4.16

a b c (Å): 8.146 4.684 8.414
angles (deg): 90.00 112.27 90.00
Sites, in units of the cell vectors:
Pr (0.040, 0.250, 0.237)
Pr (0.331, 0.250, 0.908)
Pr (0.344, 0.750, 0.580)
Pr (0.656, 0.250, 0.420)
Pr (0.669, 0.750, 0.092)
Pr (0.960, 0.750, 0.763)
In (0.307, 0.750, 0.178)
In (0.693, 0.250, 0.822)
Ru (0.092, 0.250, 0.578)
Ru (0.908, 0.750, 0.422)

Model C:
Pr3InRu: relaxed, PBE.

Summary:
- DOS(E_F) (states/eV/f.u.) = 5.08

a b c (Å): 5.479 5.479 5.479
angles (deg): 90.00 90.00 90.00
Sites, in units of the cell vectors:
Pr (0.000, 0.000, 0.500)
Pr (0.000, 0.500, 0.000)
Pr (0.500, 0.000, 0.000)
In (0.500, 0.500, 0.500)
Ru (0.000, 0.000, 0.000)

Stability ranking, top entry: model A; the second entry is 58 meV/atom less favorable.